CuGeTeN2 after structural relaxation. Source: the Alexandria database, functional GGA-PBE.

Unit cell a=3.959 b=3.959 c=5.524 alpha=90.00 beta=90.00 gamma=90.00
Fractional positions:
Cu 0.000 0.000 0.000
Ge 0.500 0.500 0.500
Te 0.000 0.000 0.500
N 0.000 0.500 0.000
N 0.500 0.000 0.000

Computed properties:
ΔE to the lowest computed polymorph = 321 meV per atom
symmetry = P4/mmm, No. 123
calculated density = 5.596 g cm⁻³
uncorrected formation energy = 145.61 kJ per mole of atoms

PrLu2Hf after structural relaxation. Source: the Alexandria database, functional GGA-PBE.

Unit cell a=3.914 b=3.914 c=7.635 alpha=90.00 beta=90.00 gamma=90.00
Fractional positions:
Pr 0.000 0.000 0.000
Lu 0.500 0.500 0.287
Lu 0.500 0.500 0.713
Hf 0.000 0.000 0.500

Computed properties:
ΔE to the lowest computed polymorph = 46 meV per atom
symmetry = P4/mmm, No. 123
calculated density = 9.501 g cm⁻³
formation enthalpy at 0 K = 19.4 kJ per mole of atoms

AuS2ClO after structural relaxation. Source: the Alexandria database, functional GGA-PBE.

Unit cell a=4.896 b=4.896 c=4.983 alpha=90.00 beta=90.00 gamma=90.00
Fractional positions:
Au 0.000 0.000 0.000
S 0.000 0.500 0.000
S 0.500 0.000 0.000
Cl 0.000 0.000 0.500
O 0.500 0.500 0.500

Computed properties:
ΔE to the lowest computed polymorph = 286 meV per atom
symmetry = P4/mmm, No. 123
calculated density = 4.346 g cm⁻³
uncorrected formation energy = 121.07 kJ per mole of atoms

Tb2PrThAs4 after structural relaxation. Source: the Alexandria database, functional GGA-PBE.

Unit cell a=7.271 b=4.217 c=7.298 alpha=90.00 beta=109.48 gamma=90.00
Fractional positions:
Tb 0.000 0.000 0.000
Tb 0.000 0.500 0.500
Pr 0.500 0.000 0.500
Th 0.500 0.500 0.000
As 0.242 0.500 0.244
As 0.243 0.000 0.750
As 0.757 0.000 0.250
As 0.758 0.500 0.756

Computed properties:
symmetry = P2/m, No. 10
calculated density = 7.797 g cm⁻³
formation enthalpy at 0 K = -146.0 kJ per mole of atoms

GaPd3F after structural relaxation. Source: the Alexandria database, functional GGA-PBE.

Unit cell a=4.370 b=4.370 c=4.370 alpha=90.00 beta=90.00 gamma=90.00
Fractional positions:
Ga 0.000 0.000 0.000
Pd 0.000 0.500 0.500
Pd 0.500 0.000 0.500
Pd 0.500 0.500 0.000
F 0.500 0.500 0.500

Computed properties:
ΔE to the lowest computed polymorph = 0 meV per atom
symmetry = Pm-3m, No. 221
calculated density = 8.119 g cm⁻³
uncorrected formation energy = 10.83 kJ per mole of atoms

ScTeOs3 after structural relaxation. Source: the Alexandria database, functional GGA-PBE.

Unit cell a=4.700 b=4.700 c=4.700 alpha=90.00 beta=90.00 gamma=90.00
Fractional positions:
Sc 0.000 0.000 0.000
Te 0.500 0.500 0.500
Os 0.000 0.000 0.500
Os 0.000 0.500 0.000
Os 0.500 0.000 0.000

Computed properties:
ΔE to the lowest computed polymorph = 478 meV per atom
symmetry = Pm-3m, No. 221
calculated density = 11.888 g cm⁻³
uncorrected formation energy = 212.22 kJ per mole of atoms